First-principles (PBE) data for a relaxed Ba12NaAu6 crystal, as listed in the Alexandria database.

The excess energy over the best structure of this formula in the dataset is 0.073 eV per atom. The calculation puts the density of states at the Fermi level at 47.96 states/eV/cell. Its formation energy is -395 meV per atom.

CIF file:
```
data_Ba12NaAu6
_space_group_name_H-M_alt 'R -3 m'
_space_group_IT_number 166
_space_group_name_Hall '-R 3 2"'
_cell_length_a 15.9232
_cell_length_b 15.9232
_cell_length_c 12.0175
_cell_angle_alpha 90.00
_cell_angle_beta 90.00
_cell_angle_gamma 120.00
loop_
_atom_site_label
_atom_site_type_symbol
_atom_site_fract_x
_atom_site_fract_y
_atom_site_fract_z
Ba1 Ba 0.0000 0.3731 0.0000
Ba2 Ba 0.0874 0.1748 0.8567
Na1 Na 0.0000 0.0000 0.5000
Au1 Au 0.0491 0.5246 0.7731
```

***

First-principles (PBE) data for a relaxed La6Tl2N crystal, as listed in the Alexandria database.

The excess energy over the best structure of this formula in the dataset is 0.000 eV per atom. The calculation puts the density of states at the Fermi level at 32.30 states/eV/cell.

CIF file:
```
data_La6Tl2N
_space_group_name_H-M_alt 'F m -3 m'
_space_group_IT_number 225
_space_group_name_Hall '-F 4 2 3'
_cell_length_a 10.306
_cell_length_b 10.306
_cell_length_c 10.306
_cell_angle_alpha 90.00
_cell_angle_beta 90.00
_cell_angle_gamma 90.00
loop_
_atom_site_label
_atom_site_type_symbol
_atom_site_fract_x
_atom_site_fract_y
_atom_site_fract_z
La1 La 0.000 0.000 0.243
Tl1 Tl 0.250 0.250 0.250
N1 N 0.000 0.000 0.000
```

***

First-principles (PBE) data for a relaxed SmDyGeIr crystal, as listed in the Alexandria database.

The calculation puts the density of states at the Fermi level at 4.73 states/eV/cell. Its formation energy is -828 meV per atom.

CIF file:
```
data_SmDyGeIr
_space_group_name_H-M_alt 'A m m 2'
_space_group_IT_number 38
_cell_length_a 4.115
_cell_length_b 4.159
_cell_length_c 10.770
_cell_angle_alpha 90.00
_cell_angle_beta 90.00
_cell_angle_gamma 90.00
loop_
_space_group_symop_operation_xyz
'x,y,z'
'-x,-y,z'
'-x,y,z'
'x,-y,z'
'x,y+1/2,z+1/2'
'-x,-y+1/2,z+1/2'
'-x,y+1/2,z+1/2'
'x,-y+1/2,z+1/2'
loop_
_atom_site_label
_atom_site_type_symbol
_atom_site_fract_x
_atom_site_fract_y
_atom_site_fract_z
Sm1 Sm 0.000 0.000 0.000
Dy1 Dy 0.500 0.000 0.281
Ge1 Ge 0.500 0.000 0.573
Ir1 Ir 0.000 0.000 0.724
```

***

First-principles (PBE) data for a relaxed GeAu2I6 crystal, as listed in the Alexandria database.

The total energy is -2.44 eV per atom.

CIF file:
```
data_GeAu2I6
_space_group_name_H-M_alt 'C 1 2/c 1'
_space_group_IT_number 15
_cell_length_a 14.476
_cell_length_b 18.668
_cell_length_c 7.625
_cell_angle_alpha 90.00
_cell_angle_beta 112.06
_cell_angle_gamma 90.00
loop_
_space_group_symop_operation_xyz
'x,y,z'
'-x,-y,-z'
'-x,y,-z+1/2'
'x,-y,z+1/2'
'x+1/2,y+1/2,z'
'-x+1/2,-y+1/2,-z'
'-x+1/2,y+1/2,-z+1/2'
'x+1/2,-y+1/2,z+1/2'
loop_
_atom_site_label
_atom_site_type_symbol
_atom_site_fract_x
_atom_site_fract_y
_atom_site_fract_z
Ge1 Ge 0.000 0.182 0.250
Au1 Au 0.183 0.498 0.868
I1 I 0.095 0.262 0.531
I2 I 0.124 0.104 0.171
I3 I 0.178 0.406 0.119
```

***

First-principles (PBE) data for a relaxed YScCdRe2 crystal, as listed in the Alexandria database.

The calculation puts the density of states at the Fermi level at 6.75 states/eV/cell. Its formation energy is 1978 meV per atom.

CIF file:
```
data_YScCdRe2
_space_group_name_H-M_alt 'P 4/m m m'
_space_group_IT_number 123
_space_group_name_Hall '-P 4 2'
_cell_length_a 4.889
_cell_length_b 4.889
_cell_length_c 5.280
_cell_angle_alpha 90.00
_cell_angle_beta 90.00
_cell_angle_gamma 90.00
loop_
_atom_site_label
_atom_site_type_symbol
_atom_site_fract_x
_atom_site_fract_y
_atom_site_fract_z
Y1 Y 0.000 0.000 0.000
Sc1 Sc 0.500 0.500 0.500
Cd1 Cd 0.000 0.000 0.500
Re1 Re 0.000 0.500 0.000
```

***

First-principles (PBE) data for a relaxed Nd8CI4N3 crystal, as listed in the Alexandria database.

The total energy is -5.99 eV per atom. The calculation puts the density of states at the Fermi level at 10.53 states/eV/cell.

CIF file:
```
data_Nd8CI4N3
_space_group_name_H-M_alt 'R -3 m'
_space_group_IT_number 166
_space_group_name_Hall '-R 3 2"'
_cell_length_a 7.6660
_cell_length_b 7.6660
_cell_length_c 23.0725
_cell_angle_alpha 90.00
_cell_angle_beta 90.00
_cell_angle_gamma 120.00
loop_
_atom_site_label
_atom_site_type_symbol
_atom_site_fract_x
_atom_site_fract_y
_atom_site_fract_z
Nd1 Nd 0.0000 0.0000 0.2227
Nd2 Nd 0.0031 0.5015 0.7768
C1 C 0.0000 0.0000 0.5000
I1 I 0.0000 0.0000 0.0000
I2 I 0.0000 0.5000 0.0000
N1 N 0.0000 0.5000 0.5000
```

***

First-principles (PBE) data for a relaxed DyHo2Er2In crystal, as listed in the Alexandria database.

The calculation puts the density of states at the Fermi level at 13.58 states/eV/cell. Its formation energy is -29 meV per atom.

CIF file:
```
data_DyHo2Er2In
_space_group_name_H-M_alt 'P n n m'
_space_group_IT_number 58
_cell_length_a 6.588
_cell_length_b 9.907
_cell_length_c 5.386
_cell_angle_alpha 90.00
_cell_angle_beta 90.00
_cell_angle_gamma 90.00
loop_
_space_group_symop_operation_xyz
'x,y,z'
'-x,-y,-z'
'-x,-y,z'
'x,y,-z'
'x+1/2,-y+1/2,-z+1/2'
'-x+1/2,y+1/2,z+1/2'
'-x+1/2,y+1/2,-z+1/2'
'x+1/2,-y+1/2,z+1/2'
loop_
_atom_site_label
_atom_site_type_symbol
_atom_site_fract_x
_atom_site_fract_y
_atom_site_fract_z
Dy1 Dy 0.000 0.000 0.000
Ho1 Ho 0.228 0.184 0.500
Er1 Er 0.218 0.358 0.000
In1 In 0.000 0.500 0.500
```

***

First-principles (PBE) data for a relaxed Cs3Pr2MnTe6 crystal, as listed in the Alexandria database.

The total energy is -4.39 eV per atom. The calculation puts the density of states at the Fermi level at 1.21 states/eV/cell.

CIF file:
```
data_Cs3Pr2MnTe6
_space_group_name_H-M_alt 'C 1 2/m 1'
_space_group_IT_number 12
_cell_length_a 8.078
_cell_length_b 13.553
_cell_length_c 9.321
_cell_angle_alpha 90.00
_cell_angle_beta 107.68
_cell_angle_gamma 90.00
loop_
_space_group_symop_operation_xyz
'x,y,z'
'-x,-y,-z'
'-x,y,-z'
'x,-y,z'
'x+1/2,y+1/2,z'
'-x+1/2,-y+1/2,-z'
'-x+1/2,y+1/2,-z'
'x+1/2,-y+1/2,z'
loop_
_atom_site_label
_atom_site_type_symbol
_atom_site_fract_x
_atom_site_fract_y
_atom_site_fract_z
Cs1 Cs 0.000 0.000 0.000
Cs2 Cs 0.000 0.323 0.000
Pr1 Pr 0.000 0.162 0.500
Mn1 Mn 0.000 0.500 0.500
Te1 Te 0.206 0.352 0.677
Te2 Te 0.242 0.000 0.706
```

***

First-principles (PBE) data for a relaxed Rb3CeAg2Br9 crystal, as listed in the Alexandria database.

The total energy is -3.29 eV per atom. The calculation puts the density of states at the Fermi level at 6.78 states/eV/cell.

CIF file:
```
data_Rb3CeAg2Br9
_space_group_name_H-M_alt 'P -3 m 1'
_space_group_IT_number 164
_space_group_name_Hall '-P 3 2"'
_cell_length_a 7.9702
_cell_length_b 7.9702
_cell_length_c 9.9576
_cell_angle_alpha 90.00
_cell_angle_beta 90.00
_cell_angle_gamma 120.00
loop_
_atom_site_label
_atom_site_type_symbol
_atom_site_fract_x
_atom_site_fract_y
_atom_site_fract_z
Rb1 Rb 0.0000 0.0000 0.0000
Rb2 Rb 0.3333 0.6667 0.7296
Ce1 Ce 0.0000 0.0000 0.5000
Ag1 Ag 0.3333 0.6667 0.1522
Br1 Br 0.0000 0.5000 0.0000
Br2 Br 0.1656 0.3311 0.3352
```

***

First-principles (PBE) data for a relaxed MgRuPt2 crystal, as listed in the Alexandria database.

The calculation puts the density of states at the Fermi level at 12.90 states/eV/cell. Its formation energy is -121 meV per atom.

CIF file:
```
data_MgRuPt2
_space_group_name_H-M_alt 'R 3 m'
_space_group_IT_number 160
_space_group_name_Hall 'R 3 -2"'
_cell_length_a 2.8008
_cell_length_b 2.8008
_cell_length_c 27.2121
_cell_angle_alpha 90.00
_cell_angle_beta 90.00
_cell_angle_gamma 120.00
loop_
_atom_site_label
_atom_site_type_symbol
_atom_site_fract_x
_atom_site_fract_y
_atom_site_fract_z
Mg1 Mg 0.0000 0.0000 0.0000
Ru1 Ru 0.0000 0.0000 0.2501
Pt1 Pt 0.0000 0.0000 0.5028
Pt2 Pt 0.0000 0.0000 0.7477
```